VASP calculation (PBE) on a relaxed structure of LaTlN2F.

Cell: 4.4601 4.4601 4.8417 Å, 90.00 90.00 90.00°
Each line ends with the local moment (μB).
Positions (direct):
La1 0.0000 0.0000 0.0000  -0.02
Tl1 0.5000 0.5000 0.5000  0.03
N1 0.5000 0.0000 0.0000  0.24
N2 0.0000 0.5000 0.0000  0.24
F1 0.0000 0.0000 0.5000  0.00

Raw total energy (eV for the cell shown): -27.3
Space group: No. 123
Energy above the most stable polymorph in this dataset (meV per atom): 0

***

VASP calculation (PBE) on a relaxed structure of TcNiCl2.

Cell: 4.3745 4.3745 3.0524 Å, 90.00 90.00 90.00°
Each line ends with the local moment (μB).
Positions (direct):
Cl1 0.5000 0.5000 0.0000  0.06
Cl2 0.0000 0.0000 0.0000  0.06
Ni1 0.5000 0.0000 0.5000  0.72
Tc1 0.0000 0.5000 0.5000  1.05

Raw total energy (eV for the cell shown): -17.0
Space group: No. 123
Energy above the most stable polymorph in this dataset (meV per atom): 775

***

VASP calculation (PBE) on a relaxed structure of Sr2ScInI.

Cell: 6.6793 6.7405 6.6793 Å, 90.00 90.00 90.00°
Each line ends with the local moment (μB).
Positions (direct):
In1 0.5000 0.5000 0.5000  -0.02
I1 0.0000 0.0000 0.0000  0.01
Sr1 0.5000 0.0000 0.0000  0.02
Sr2 0.0000 0.0000 0.5000  0.03
Sc1 0.0000 0.5000 0.0000  0.89

Raw total energy (eV for the cell shown): -12.2
Space group: No. 123

***

VASP calculation (PBE) on a relaxed structure of PrNd6Ho5.

Cell: 5.1372 10.1711 9.5667 Å, 122.11 105.56 90.01°
Positions (direct):
Ho1 0.6671 0.6671 0.3342
Ho2 0.0000 0.5000 0.0000
Ho3 0.3324 0.8324 0.6648
Ho4 0.3329 0.3329 0.6658
Ho5 0.6676 0.1676 0.3352
Nd1 0.1670 0.4187 0.3341
Nd2 0.8330 0.5813 0.6659
Nd3 0.1670 0.9154 0.3341
Nd4 0.5000 0.7471 0.0000
Nd5 0.8330 0.0846 0.6659
Nd6 0.5000 0.2529 0.0000
Pr1 0.0000 0.0000 0.0000

Raw total energy (eV for the cell shown): -56.1
Space group: No. 71
Energy relative to the elements (eV per formula unit): 0.20

***

Question: Which of these has the highest raw total energy?
Answer: Sr2ScInI

***

Copy entry 2 word for word.
VASP calculation (PBE) on a relaxed structure of TcNiCl2.

Cell: 4.3745 4.3745 3.0524 Å, 90.00 90.00 90.00°
Each line ends with the local moment (μB).
Positions (direct):
Cl1 0.5000 0.5000 0.0000  0.06
Cl2 0.0000 0.0000 0.0000  0.06
Ni1 0.5000 0.0000 0.5000  0.72
Tc1 0.0000 0.5000 0.5000  1.05

Raw total energy (eV for the cell shown): -17.0
Space group: No. 123
Energy above the most stable polymorph in this dataset (meV per atom): 775

***

Question: The lowest raw total energy belongs to which entry?
Answer: PrNd6Ho5